[1]
Density functional theory data (GGA-PBE) for PrSmEuY after structural relaxation.

abc: 5.858 5.858 5.858
angles: 60.00 60.00 60.00
Site moments in Bohr magnetons follow the coordinates.
Fractional positions:
Pr (0.000, 0.000, 0.000)  0.09
Eu (0.500, 0.500, 0.500)  6.88
Y (0.750, 0.750, 0.750)  0.09
Sm (0.250, 0.250, 0.250)  0.09

Output
V: 35.533 Å³ per atom
Calculated formation energy: 0.15 eV per atom
Space group: No. 216

---

[2]
Density functional theory data (GGA-PBE) for PrSmEuZn after structural relaxation.

abc: 5.513 5.513 5.513
angles: 60.00 60.00 60.00
Site moments in Bohr magnetons follow the coordinates.
Fractional positions:
Eu (0.500, 0.500, 0.500)  6.89
Zn (0.000, 0.000, 0.000)  -0.02
Pr (0.750, 0.750, 0.750)  0.04
Sm (0.250, 0.250, 0.250)  0.05

Output
V: 29.619 Å³ per atom
Calculated formation energy: 0.05 eV per atom
Space group: No. 216

---

[3]
Density functional theory data (GGA-PBE) for Pr2EuSn after structural relaxation.

abc: 5.630 5.630 5.630
angles: 60.00 60.00 60.00
Site moments in Bohr magnetons follow the coordinates.
Fractional positions:
Sn (0.500, 0.500, 0.500)  -0.04
Eu (0.000, 0.000, 0.000)  6.96
Pr (0.750, 0.750, 0.750)  0.10
Pr (0.250, 0.250, 0.250)  0.10

Output
Energy above the lowest structure with this stoichiometry: 120.2 meV/atom
V: 31.540 Å³ per atom
Calculated formation energy: -0.30 eV per atom
Space group: No. 225

---

[4]
Density functional theory data (GGA-PBE) for PrEuSn2 after structural relaxation.

abc: 3.575 3.575 9.204
angles: 90.00 90.00 90.00
Site moments in Bohr magnetons follow the coordinates.
Fractional positions:
Sn (0.000, 0.000, 0.251)  -0.02
Pr (0.500, 0.500, 0.500)  -0.02
Eu (0.500, 0.500, 0.000)  6.84
Sn (0.000, 0.000, 0.749)  -0.02

Output
Energy above the lowest structure with this stoichiometry: 0.0 meV/atom
V: 29.405 Å³ per atom
Calculated formation energy: -0.67 eV per atom
Space group: No. 123

---

[5]
Density functional theory data (GGA-PBE) for Pr2EuSn after structural relaxation.

abc: 3.627 3.627 12.394
angles: 81.59 81.59 60.00
Site moments in Bohr magnetons follow the coordinates.
Fractional positions:
Pr (0.905, 0.905, 0.285)  0.01
Sn (0.500, 0.500, 0.500)  -0.01
Eu (0.000, 0.000, 0.000)  7.00
Pr (0.095, 0.095, 0.715)  0.01

Output
Energy above the lowest structure with this stoichiometry: 368.5 meV/atom
V: 34.798 Å³ per atom
Calculated formation energy: -0.05 eV per atom
Space group: No. 166

---

[6]
Density functional theory data (GGA-PBE) for PrEuSn2 after structural relaxation.

abc: 5.543 5.543 5.543
angles: 60.00 60.00 60.00
Site moments in Bohr magnetons follow the coordinates.
Fractional positions:
Eu (0.000, 0.000, 0.000)  6.80
Sn (0.250, 0.250, 0.250)  -0.01
Pr (0.500, 0.500, 0.500)  0.01
Sn (0.750, 0.750, 0.750)  -0.01

Output
Energy above the lowest structure with this stoichiometry: 70.8 meV/atom
V: 30.110 Å³ per atom
Calculated formation energy: -0.60 eV per atom
Space group: No. 225

---

[7]
Density functional theory data (GGA-PBE) for Pr2EuSn after structural relaxation.

abc: 4.283 4.283 7.136
angles: 90.00 90.00 90.00
Site moments in Bohr magnetons follow the coordinates.
Fractional positions:
Eu (0.500, 0.500, 0.500)  6.93
Pr (0.000, 0.000, 0.779)  0.09
Sn (0.500, 0.500, 0.000)  -0.02
Pr (0.000, 0.000, 0.221)  0.09

Output
Energy above the lowest structure with this stoichiometry: 85.7 meV/atom
V: 32.720 Å³ per atom
Calculated formation energy: -0.34 eV per atom
Space group: No. 123

---

[8]
Density functional theory data (GGA-PBE) for PrEuSn2 after structural relaxation.

abc: 4.552 5.082 5.082
angles: 90.00 90.00 90.00
Site moments in Bohr magnetons follow the coordinates.
Fractional positions:
Sn (0.000, 0.500, 0.000)  -0.03
Eu (0.500, 0.500, 0.500)  6.85
Pr (0.500, 0.000, 0.000)  0.13
Sn (0.000, 0.000, 0.500)  -0.03

Output
Energy above the lowest structure with this stoichiometry: 14.7 meV/atom
V: 29.393 Å³ per atom
Calculated formation energy: -0.66 eV per atom
Space group: No. 123

---

[9]
Density functional theory data (GGA-PBE) for PrEu2Sn after structural relaxation.

abc: 5.209 4.966 4.966
angles: 90.00 90.00 90.00
Site moments in Bohr magnetons follow the coordinates.
Fractional positions:
Sn (0.500, 0.500, 0.500)  -0.08
Pr (0.500, 0.000, 0.000)  0.23
Eu (0.000, 0.500, 0.000)  6.94
Eu (0.000, 0.000, 0.500)  6.94

Output
Energy above the lowest structure with this stoichiometry: 0.0 meV/atom
V: 32.119 Å³ per atom
Calculated formation energy: -0.41 eV per atom
Space group: No. 123

---

[10]
Density functional theory data (GGA-PBE) for PrEu2Sn after structural relaxation.

abc: 4.328 4.328 7.101
angles: 90.00 90.00 90.00
Site moments in Bohr magnetons follow the coordinates.
Fractional positions:
Eu (0.000, 0.000, 0.224)  6.88
Pr (0.500, 0.500, 0.500)  0.17
Sn (0.500, 0.500, 0.000)  -0.03
Eu (0.000, 0.000, 0.776)  6.88

Output
Energy above the lowest structure with this stoichiometry: 141.1 meV/atom
V: 33.263 Å³ per atom
Calculated formation energy: -0.27 eV per atom
Space group: No. 123

---

[11]
Density functional theory data (GGA-PBE) for PrEu2Sn after structural relaxation.

abc: 3.705 3.705 12.314
angles: 81.35 81.35 60.00
Site moments in Bohr magnetons follow the coordinates.
Fractional positions:
Pr (0.000, 0.000, 0.000)  0.19
Eu (0.903, 0.903, 0.292)  6.96
Eu (0.097, 0.097, 0.708)  6.96
Sn (0.500, 0.500, 0.500)  -0.06

Output
Energy above the lowest structure with this stoichiometry: 339.2 meV/atom
V: 36.041 Å³ per atom
Calculated formation energy: -0.07 eV per atom
Space group: No. 166

---

[12]
Density functional theory data (GGA-PBE) for PrEuSn2 after structural relaxation.

abc: 3.931 3.931 9.922
angles: 78.57 78.57 60.00
Site moments in Bohr magnetons follow the coordinates.
Fractional positions:
Sn (0.250, 0.250, 0.251)  -0.02
Eu (0.000, 0.000, 0.000)  6.84
Pr (0.500, 0.500, 0.500)  -0.02
Sn (0.750, 0.750, 0.749)  -0.02

Output
Energy above the lowest structure with this stoichiometry: 194.0 meV/atom
V: 32.324 Å³ per atom
Calculated formation energy: -0.48 eV per atom
Space group: No. 166

---

Q: Number 7 is which compound?
A: Pr2EuSn

---

Q: Among the records above, which one has the highest calculated formation energy?
A: PrSmEuY